# 1
Material: Li3SiBiO5
Method: DFT, GGA-PBE
State: optimized geometry

Geometry as POSCAR:
```
Li3SiBiO5
1.0
5.2785 0.0000 0.0000
0.0000 5.5380 0.0000
0.0000 0.0000 16.5316
Li Si Bi O
12 4 4 20
direct
0.9963 0.6580 0.5787
0.9963 0.1580 0.9213
0.5130 0.3242 0.9836
0.5130 0.8242 0.5164
0.4851 0.2927 0.8052
0.4851 0.7927 0.6948
0.4963 0.3420 0.4213
0.4963 0.8420 0.0787
0.0130 0.6758 0.0164
0.0130 0.1758 0.4836
0.9851 0.2073 0.3052
0.9851 0.7073 0.1948
0.0050 0.1705 0.0936
0.0050 0.6705 0.4064
0.5050 0.3295 0.5936
0.5050 0.8295 0.9064
0.0352 0.1744 0.6823
0.0352 0.6744 0.8177
0.5352 0.3256 0.1823
0.5352 0.8256 0.3177
0.1061 0.2898 0.8106
0.1061 0.7898 0.6894
0.1310 0.4054 0.3910
0.1310 0.9054 0.1090
0.1493 0.3355 0.0259
0.1493 0.8355 0.4741
0.9762 0.3228 0.1836
0.9762 0.8228 0.3164
0.1980 0.3534 0.5698
0.1980 0.8534 0.9302
0.6061 0.2102 0.3106
0.6061 0.7102 0.1894
0.6310 0.0946 0.8910
0.6310 0.5946 0.6090
0.6493 0.1645 0.5259
0.6493 0.6645 0.9741
0.4762 0.1772 0.6836
0.4762 0.6772 0.8164
0.6980 0.1466 0.0698
0.6980 0.6466 0.4302
```

Values from the calculation:
* formation energy from raw total energies: -199.9 kJ per mole of atoms
* symmetry: Pna2_1, No. 33
* uncorrected energy: -60.552 eV per formula unit

# 2
Material: LiSiBiO4
Method: DFT, GGA-PBE
State: optimized geometry

Geometry as POSCAR:
```
LiSiBiO4
1.0
-0.2662 7.7591 2.7671
-9.8959 -1.0561 2.0095
6.8933 -2.2929 7.0927
Li Si Bi O
8 8 8 32
direct
0.7999 0.0964 0.7712
0.7999 0.6747 0.9036
0.2958 0.3333 0.6667
0.2999 0.7712 0.6747
0.7999 0.2288 0.3253
0.7958 0.6667 0.3333
0.2999 0.3253 0.0964
0.2999 0.9036 0.2288
0.1770 0.1038 0.7864
0.1770 0.6826 0.8962
0.7504 0.3333 0.6667
0.6770 0.7864 0.6826
0.1770 0.2136 0.3174
0.2504 0.6667 0.3333
0.6770 0.3174 0.1038
0.6770 0.8962 0.2136
0.5032 0.5081 0.9753
0.5032 0.0247 0.5328
0.4467 0.0000 0.0000
0.9467 0.0000 0.0000
0.0032 0.5328 0.5081
0.5032 0.4672 0.4919
0.0032 0.9753 0.4672
0.0032 0.4919 0.0247
0.1338 0.2619 0.9416
0.7938 0.1703 0.9927
0.0123 0.0011 0.7091
0.0123 0.7081 0.9989
0.2568 0.5186 0.8627
0.8096 0.4487 0.8421
0.2568 0.1373 0.6559
0.8096 0.1579 0.6066
0.5478 0.3333 0.6667
0.1338 0.6797 0.7381
0.7938 0.8224 0.8297
0.2568 0.3441 0.4814
0.8096 0.3934 0.5513
0.5123 0.7091 0.7081
0.7938 0.0073 0.1776
0.1338 0.0584 0.3203
0.2938 0.9927 0.8224
0.6338 0.9416 0.6797
0.0123 0.2909 0.2919
0.7568 0.6559 0.5186
0.3096 0.6066 0.4487
0.2938 0.1776 0.1703
0.6338 0.3203 0.2619
0.0478 0.6667 0.3333
0.7568 0.8627 0.3441
0.3096 0.8421 0.3934
0.7568 0.4814 0.1373
0.3096 0.5513 0.1579
0.5123 0.2919 0.0011
0.5123 0.9989 0.2909
0.6338 0.7381 0.0584
0.2938 0.8297 0.0073
```

Values from the calculation:
* formation energy from raw total energies: -201.8 kJ per mole of atoms
* symmetry: P6_3, No. 173
* uncorrected energy: -45.693 eV per formula unit
* offset from the most stable computed form: 35 meV per atom

# 3
Material: LiSi2BiO6
Method: DFT, GGA-PBE
State: optimized geometry

Geometry as POSCAR:
```
LiSi2BiO6
1.0
7.1493 0.0497 -0.0097
0.2825 7.1439 -0.0097
1.3725 1.3285 5.1832
Li Si Bi O
2 4 2 12
direct
0.2426 0.7574 0.2500
0.7574 0.2426 0.7500
0.7810 0.6170 0.2943
0.6170 0.7810 0.7943
0.3830 0.2190 0.2057
0.2190 0.3830 0.7057
0.8753 0.1247 0.2500
0.1247 0.8753 0.7500
0.9696 0.7644 0.1887
0.7644 0.9696 0.6887
0.8326 0.3904 0.3889
0.6740 0.6416 0.0537
0.3904 0.8326 0.8889
0.6416 0.6740 0.5537
0.3584 0.3260 0.4463
0.6096 0.1674 0.1111
0.3260 0.3584 0.9463
0.1674 0.6096 0.6111
0.2356 0.0304 0.3113
0.0304 0.2356 0.8113
```

Values from the calculation:
* formation energy from raw total energies: -221.6 kJ per mole of atoms
* symmetry: C2/c, No. 15
* uncorrected energy: -69.361 eV per formula unit
* offset from the most stable computed form: 20 meV per atom

# 4
Material: LiSiBiO4
Method: DFT, GGA-PBE
State: optimized geometry

Geometry as POSCAR:
```
LiSiBiO4
1.0
4.8323 0.0000 0.0000
0.0000 5.3501 0.0000
0.0000 0.0000 12.8103
Li Si Bi O
4 4 4 16
direct
0.0000 0.7500 0.2396
0.0000 0.2500 0.7604
0.5000 0.2500 0.2604
0.5000 0.7500 0.7396
0.0000 0.2500 0.3859
0.0000 0.7500 0.6141
0.5000 0.2500 0.8859
0.5000 0.7500 0.1141
0.0000 0.2500 0.0967
0.0000 0.7500 0.9033
0.5000 0.2500 0.5967
0.5000 0.7500 0.4033
0.1643 0.4564 0.3128
0.1643 0.9564 0.6872
0.2554 0.6050 0.0447
0.2554 0.1050 0.9553
0.2446 0.1050 0.4553
0.2446 0.6050 0.5447
0.3357 0.9564 0.1872
0.3357 0.4564 0.8128
0.6643 0.5436 0.1872
0.6643 0.0436 0.8128
0.7554 0.3950 0.4553
0.7554 0.8950 0.5447
0.7446 0.8950 0.0447
0.7446 0.3950 0.9553
0.8357 0.0436 0.3128
0.8357 0.5436 0.6872
```

Values from the calculation:
* formation energy from raw total energies: -202.4 kJ per mole of atoms
* symmetry: Pbcn, No. 60
* uncorrected energy: -45.737 eV per formula unit
* offset from the most stable computed form: 29 meV per atom

# 5
Material: LiSi3BiO8
Method: DFT, GGA-PBE
State: optimized geometry

Geometry as POSCAR:
```
LiSi3BiO8
1.0
-3.0363 -6.3758 -1.1896
4.7179 -1.9437 5.4296
-5.7188 4.8257 2.5513
Li Si Bi O
2 6 2 16
direct
0.8102 0.1936 0.8377
0.3365 0.5893 0.8348
0.6562 0.4051 0.1655
0.6256 0.2068 0.4359
0.7670 0.8285 0.1812
0.2173 0.8402 0.1977
0.2191 0.1466 0.7861
0.3798 0.7888 0.5542
0.1119 0.2809 0.3758
0.8436 0.7373 0.7515
0.8463 0.3286 0.1305
0.7363 0.0442 0.3201
0.4354 0.2889 0.9802
0.3754 0.0799 0.3264
0.0166 0.8971 0.2440
0.6382 0.3884 0.3636
0.6973 0.6533 0.2422
0.7215 0.3226 0.6698
0.2994 0.7100 0.3111
0.1702 0.2873 0.6701
0.3044 0.5860 0.5805
0.0397 0.0684 0.8538
0.6248 0.8932 0.6562
0.6648 0.7539 0.9455
0.2576 0.9440 0.6401
0.1687 0.7361 0.9662
```

Values from the calculation:
* formation energy from raw total energies: -228.2 kJ per mole of atoms
* symmetry: P1, No. 1
* uncorrected energy: -92.477 eV per formula unit
* offset from the most stable computed form: 26 meV per atom

# 6
Material: Li3Si2Bi3O10
Method: DFT, GGA-PBE
State: optimized geometry

Geometry as POSCAR:
```
Li3Si2Bi3O10
1.0
6.8928 0.0000 0.0000
0.0000 5.4316 -0.0052
0.0000 0.3753 12.9527
Li Si Bi O
6 4 6 20
direct
0.2571 0.0050 0.4645
0.5214 0.9893 0.2718
0.4786 0.9893 0.7718
0.7429 0.0050 0.9645
0.9491 0.4721 0.0577
0.0509 0.4721 0.5577
0.2684 0.5248 0.3436
0.1999 0.0047 0.9999
0.7316 0.5248 0.8436
0.8001 0.0047 0.4999
0.2553 0.4606 0.8230
0.5014 0.4860 0.5940
0.4986 0.4860 0.0940
0.7447 0.4606 0.3230
0.0321 0.9595 0.7088
0.9679 0.9595 0.2088
0.3383 0.8078 0.3516
0.2635 0.3787 0.4576
0.2129 0.0214 0.8718
0.1933 0.2901 0.0419
0.3001 0.7478 0.6971
0.2279 0.2666 0.6761
0.3894 0.8668 0.0518
0.4198 0.3646 0.2682
0.5802 0.3646 0.7682
0.6106 0.8668 0.5518
0.6617 0.8078 0.8516
0.7871 0.0214 0.3718
0.8067 0.2901 0.5419
0.7365 0.3787 0.9576
0.7721 0.2666 0.1761
0.6999 0.7478 0.1971
0.0056 0.8633 0.5369
0.9437 0.5210 0.7836
0.0563 0.5210 0.2836
0.9944 0.8633 0.0369
```

Values from the calculation:
* formation energy from raw total energies: -189.3 kJ per mole of atoms
* symmetry: Pc, No. 7
* uncorrected energy: -113.132 eV per formula unit

# 7
Material: LiSi2Bi3O9
Method: DFT, GGA-PBE
State: optimized geometry

Geometry as POSCAR:
```
LiSi2Bi3O9
1.0
7.6829 0.0000 -0.0216
0.0000 10.9642 0.0000
-0.1130 0.0000 10.7203
Li Si Bi O
4 8 12 36
direct
0.1295 0.4827 0.3249
0.1295 0.0173 0.8249
0.8705 0.9827 0.1751
0.8705 0.5173 0.6751
0.1702 0.1302 0.3166
0.1702 0.3698 0.8166
0.4052 0.6240 0.1707
0.4052 0.8760 0.6707
0.5948 0.1240 0.3293
0.5948 0.3760 0.8293
0.8298 0.6302 0.1834
0.8298 0.8698 0.6834
0.1269 0.7935 0.3952
0.1269 0.7065 0.8952
0.3491 0.9391 0.0995
0.3643 0.2995 0.0997
0.3491 0.5609 0.5995
0.3643 0.2005 0.5997
0.6357 0.7995 0.4003
0.6509 0.4391 0.4005
0.6357 0.7005 0.9003
0.6509 0.0609 0.9005
0.8731 0.2935 0.1048
0.8731 0.2065 0.6048
0.0979 0.0008 0.2641
0.0979 0.4992 0.7641
0.1578 0.6077 0.4606
0.1026 0.2473 0.2315
0.1578 0.8923 0.9606
0.1026 0.2527 0.7315
0.1456 0.1541 0.4670
0.1456 0.3459 0.9670
0.3315 0.4928 0.2133
0.3315 0.0072 0.7133
0.4051 0.3845 0.5039
0.3175 0.7427 0.2420
0.4051 0.1155 0.0039
0.3175 0.7573 0.7420
0.3966 0.6468 0.0186
0.3844 0.1343 0.2882
0.3966 0.8532 0.5186
0.3844 0.3657 0.7882
0.6156 0.6343 0.2118
0.6034 0.1468 0.4814
0.6156 0.8657 0.7118
0.6034 0.3532 0.9814
0.6825 0.2427 0.2580
0.5949 0.8845 0.9961
0.6825 0.2573 0.7580
0.5949 0.6155 0.4961
0.6685 0.9928 0.2867
0.6685 0.5072 0.7867
0.8544 0.6541 0.0330
0.8544 0.8459 0.5330
0.8974 0.7473 0.2685
0.8422 0.1077 0.0394
0.8974 0.7527 0.7685
0.8422 0.3923 0.5394
0.9021 0.5008 0.2359
0.9021 0.9992 0.7359
```

Values from the calculation:
* formation energy from raw total energies: -187.9 kJ per mole of atoms
* symmetry: P2_1/c, No. 14
* uncorrected energy: -98.243 eV per formula unit

# 8
Material: LiSiBiO4
Method: DFT, GGA-PBE
State: optimized geometry

Geometry as POSCAR:
```
LiSiBiO4
1.0
5.8685 0.0000 0.0000
0.0000 7.0983 0.0000
0.0000 0.0000 8.8911
Li Si Bi O
4 4 4 16
direct
0.0000 0.0000 0.0000
0.0000 0.5000 0.0000
0.5000 0.5000 0.5000
0.5000 0.0000 0.5000
0.9055 0.7500 0.6846
0.5945 0.7500 0.1846
0.4055 0.2500 0.8154
0.0945 0.2500 0.3154
0.8620 0.2500 0.6625
0.6380 0.2500 0.1625
0.3620 0.7500 0.8375
0.1380 0.7500 0.3375
0.0113 0.2500 0.1356
0.6581 0.2500 0.9047
0.7466 0.9360 0.1442
0.7466 0.5640 0.1442
0.7534 0.9360 0.6442
0.7534 0.5640 0.6442
0.8419 0.2500 0.4047
0.4887 0.2500 0.6356
0.5113 0.7500 0.3644
0.1581 0.7500 0.5953
0.2534 0.4360 0.8558
0.2534 0.0640 0.8558
0.2466 0.0640 0.3558
0.2466 0.4360 0.3558
0.9887 0.7500 0.8644
0.3419 0.7500 0.0953
```

Values from the calculation:
* formation energy from raw total energies: -203.4 kJ per mole of atoms
* symmetry: Pnma, No. 62
* uncorrected energy: -45.805 eV per formula unit
* offset from the most stable computed form: 19 meV per atom